Entry 1:
DFT (GGA-PBE) results for a geometry-optimized Ta2CuAu structure. Values from VASP.

- Spin magnetization: 0.000 μB/cell
- Formation energy: -0.1 eV/f.u.
- D(E_F): 1.9 states/eV/cell

Cell and atoms, written as Quantum ESPRESSO input:
```
&SYSTEM
  ibrav = 0, nat = 4, ntyp = 3
/
ATOMIC_SPECIES
Ta 180.95 Ta.upf
Cu 63.55 Cu.upf
Au 196.97 Au.upf
CELL_PARAMETERS angstrom
3.062 0.000 0.000
0.000 3.652 0.000
0.000 0.000 5.977
ATOMIC_POSITIONS crystal
Ta 0.000 0.000 0.000
Ta 0.500 0.500 0.266
Cu 0.500 0.500 0.765
Au 0.000 0.000 0.532
```

---

Entry 2:
DFT (GGA-PBE) results for a geometry-optimized Ta2Cu2Au structure. Values from VASP.

- Spin magnetization: 0.000 μB/cell
- Formation energy: 0.6 eV/f.u.
- D(E_F): 7.9 states/eV/cell

Cell and atoms, written as Quantum ESPRESSO input:
```
&SYSTEM
  ibrav = 0, nat = 10, ntyp = 3
/
ATOMIC_SPECIES
Ta 180.95 Ta.upf
Cu 63.55 Cu.upf
Au 196.97 Au.upf
CELL_PARAMETERS angstrom
6.617 0.000 0.000
0.000 6.617 0.000
0.000 0.000 3.567
ATOMIC_POSITIONS crystal
Ta 0.167 0.333 0.000
Ta 0.333 0.833 0.000
Ta 0.667 0.167 0.000
Ta 0.833 0.667 0.000
Cu 0.129 0.629 0.500
Cu 0.371 0.129 0.500
Cu 0.629 0.871 0.500
Cu 0.871 0.371 0.500
Au 0.000 0.000 0.500
Au 0.500 0.500 0.500
```

---

Entry 3:
DFT (GGA-PBE) results for a geometry-optimized Ta2CuAu structure. Values from VASP.

- Spin magnetization: 0.000 μB/cell
- Formation energy: 0.2 eV/f.u.
- D(E_F): 4.6 states/eV/cell

Cell and atoms, written as Quantum ESPRESSO input:
```
&SYSTEM
  ibrav = 0, nat = 8, ntyp = 3
/
ATOMIC_SPECIES
Ta 180.95 Ta.upf
Cu 63.55 Cu.upf
Au 196.97 Au.upf
CELL_PARAMETERS angstrom
4.387 0.000 0.000
0.000 2.730 0.000
0.000 0.000 11.098
ATOMIC_POSITIONS crystal
Ta 0.000 0.000 0.000
Ta 0.000 0.500 0.500
Ta 0.500 0.000 0.352
Ta 0.500 0.500 0.852
Cu 0.000 0.000 0.750
Cu 0.000 0.500 0.250
Au 0.500 0.000 0.618
Au 0.500 0.500 0.118
```

---

Entry 4:
DFT (GGA-PBE) results for a geometry-optimized Ta2CuAu structure. Values from VASP.

- Spin magnetization: 0.000 μB/cell
- Formation energy: 0.7 eV/f.u.
- D(E_F): 14.7 states/eV/cell

Cell and atoms, written as Quantum ESPRESSO input:
```
&SYSTEM
  ibrav = 0, nat = 12, ntyp = 3
/
ATOMIC_SPECIES
Ta 180.95 Ta.upf
Cu 63.55 Cu.upf
Au 196.97 Au.upf
CELL_PARAMETERS angstrom
2.883 0.000 0.000
-1.442 2.497 0.000
0.000 0.000 28.294
ATOMIC_POSITIONS crystal
Ta 0.000 0.000 0.000
Ta 0.000 0.000 0.242
Ta 0.333 0.667 0.667
Ta 0.333 0.667 0.908
Ta 0.667 0.333 0.333
Ta 0.667 0.333 0.575
Cu 0.000 0.000 0.745
Cu 0.333 0.667 0.412
Cu 0.667 0.333 0.078
Au 0.000 0.000 0.489
Au 0.333 0.667 0.156
Au 0.667 0.333 0.823
```

---

Entry 5:
DFT (GGA-PBE) results for a geometry-optimized Ta2CuAu structure. Values from VASP.

- Spin magnetization: 2.840 μB/cell
- Formation energy: 1.5 eV/f.u.
- D(E_F): 23.4 states/eV/cell

Cell and atoms, written as Quantum ESPRESSO input:
```
&SYSTEM
  ibrav = 0, nat = 16, ntyp = 3
/
ATOMIC_SPECIES
Ta 180.95 Ta.upf
Cu 63.55 Cu.upf
Au 196.97 Au.upf
CELL_PARAMETERS angstrom
6.476 0.000 0.000
0.000 6.476 0.000
0.000 0.000 6.476
ATOMIC_POSITIONS crystal
Ta 0.000 0.000 0.000
Ta 0.000 0.500 0.500
Ta 0.250 0.250 0.250
Ta 0.250 0.750 0.750
Ta 0.500 0.000 0.500
Ta 0.500 0.500 0.000
Ta 0.750 0.250 0.750
Ta 0.750 0.750 0.250
Cu 0.000 0.000 0.500
Cu 0.000 0.500 0.000
Cu 0.500 0.000 0.000
Cu 0.500 0.500 0.500
Au 0.250 0.250 0.750
Au 0.250 0.750 0.250
Au 0.750 0.250 0.250
Au 0.750 0.750 0.750
```

---

Entry 6:
DFT (GGA-PBE) results for a geometry-optimized Ta2CuAu structure. Values from VASP.

- Spin magnetization: 0.000 μB/cell
- Formation energy: 0.8 eV/f.u.
- D(E_F): 11.6 states/eV/cell

Cell and atoms, written as Quantum ESPRESSO input:
```
&SYSTEM
  ibrav = 0, nat = 12, ntyp = 3
/
ATOMIC_SPECIES
Ta 180.95 Ta.upf
Cu 63.55 Cu.upf
Au 196.97 Au.upf
CELL_PARAMETERS angstrom
2.877 0.000 0.000
-1.438 2.491 0.000
0.000 0.000 28.277
ATOMIC_POSITIONS crystal
Ta 0.000 0.000 0.247
Ta 0.000 0.000 0.753
Ta 0.333 0.667 0.420
Ta 0.333 0.667 0.913
Ta 0.667 0.333 0.087
Ta 0.667 0.333 0.580
Cu 0.000 0.000 0.500
Cu 0.333 0.667 0.167
Cu 0.667 0.333 0.833
Au 0.000 0.000 0.000
Au 0.333 0.667 0.667
Au 0.667 0.333 0.333
```

---

Entry 7:
DFT (GGA-PBE) results for a geometry-optimized TaCuAu2 structure. Values from VASP.

- Spin magnetization: 0.000 μB/cell
- Formation energy: 0.2 eV/f.u.
- D(E_F): 1.7 states/eV/cell

Cell and atoms, written as Quantum ESPRESSO input:
```
&SYSTEM
  ibrav = 0, nat = 4, ntyp = 3
/
ATOMIC_SPECIES
Ta 180.95 Ta.upf
Cu 63.55 Cu.upf
Au 196.97 Au.upf
CELL_PARAMETERS angstrom
2.776 0.000 0.000
0.000 4.704 0.000
0.000 0.000 5.103
ATOMIC_POSITIONS crystal
Ta 0.000 0.000 0.000
Cu 0.000 0.500 0.323
Au 0.500 0.000 0.487
Au 0.500 0.500 0.835
```

---

Entry 8:
DFT (GGA-PBE) results for a geometry-optimized TaCuAu2 structure. Values from VASP.

- Spin magnetization: 0.000 μB/cell
- Formation energy: 0.9 eV/f.u.
- D(E_F): 2.9 states/eV/cell

Cell and atoms, written as Quantum ESPRESSO input:
```
&SYSTEM
  ibrav = 0, nat = 4, ntyp = 3
/
ATOMIC_SPECIES
Ta 180.95 Ta.upf
Cu 63.55 Cu.upf
Au 196.97 Au.upf
CELL_PARAMETERS angstrom
2.820 0.000 0.000
0.000 4.909 0.000
0.000 0.000 4.913
ATOMIC_POSITIONS crystal
Ta 0.000 0.000 0.000
Cu 0.500 0.000 0.500
Au 0.000 0.500 0.500
Au 0.500 0.500 0.000
```

---

Entry 9:
DFT (GGA-PBE) results for a geometry-optimized Ta2CuAu structure. Values from VASP.

- Spin magnetization: 1.529 μB/cell
- Formation energy: 0.8 eV/f.u.
- D(E_F): 11.3 states/eV/cell

Cell and atoms, written as Quantum ESPRESSO input:
```
&SYSTEM
  ibrav = 0, nat = 8, ntyp = 3
/
ATOMIC_SPECIES
Ta 180.95 Ta.upf
Cu 63.55 Cu.upf
Au 196.97 Au.upf
CELL_PARAMETERS angstrom
3.975 0.000 0.000
0.000 3.975 0.000
0.000 0.000 8.466
ATOMIC_POSITIONS crystal
Ta 0.000 0.000 0.000
Ta 0.000 0.500 0.250
Ta 0.500 0.000 0.750
Ta 0.500 0.500 0.500
Cu 0.000 0.000 0.500
Cu 0.500 0.500 0.000
Au 0.000 0.500 0.750
Au 0.500 0.000 0.250
```

---

Entry 10:
DFT (GGA-PBE) results for a geometry-optimized Ta2CuAu structure. Values from VASP.

- Spin magnetization: 0.000 μB/cell
- Formation energy: 0.4 eV/f.u.
- D(E_F): 4.8 states/eV/cell

Cell and atoms, written as Quantum ESPRESSO input:
```
&SYSTEM
  ibrav = 0, nat = 8, ntyp = 3
/
ATOMIC_SPECIES
Ta 180.95 Ta.upf
Cu 63.55 Cu.upf
Au 196.97 Au.upf
CELL_PARAMETERS angstrom
9.227 0.000 0.000
0.000 2.970 0.000
-1.034 0.000 4.923
ATOMIC_POSITIONS crystal
Ta 0.000 0.000 0.000
Ta 0.247 0.500 0.264
Ta 0.500 0.500 0.000
Ta 0.747 0.000 0.264
Cu 0.496 0.000 0.493
Cu 0.996 0.500 0.493
Au 0.246 0.000 0.743
Au 0.746 0.500 0.743
```

---

Entry 11:
DFT (GGA-PBE) results for a geometry-optimized Ta2CuAu structure. Values from VASP.

- Spin magnetization: 0.000 μB/cell
- Formation energy: 2.1 eV/f.u.
- D(E_F): 11.9 states/eV/cell

Cell and atoms, written as Quantum ESPRESSO input:
```
&SYSTEM
  ibrav = 0, nat = 16, ntyp = 3
/
ATOMIC_SPECIES
Ta 180.95 Ta.upf
Cu 63.55 Cu.upf
Au 196.97 Au.upf
CELL_PARAMETERS angstrom
7.319 0.000 0.000
0.000 7.319 0.000
0.000 0.000 5.276
ATOMIC_POSITIONS crystal
Ta 0.230 0.250 0.125
Ta 0.250 0.730 0.375
Ta 0.250 0.770 0.875
Ta 0.270 0.250 0.625
Ta 0.730 0.750 0.625
Ta 0.750 0.230 0.875
Ta 0.750 0.270 0.375
Ta 0.770 0.750 0.125
Cu 0.000 0.000 0.000
Cu 0.000 0.500 0.250
Cu 0.500 0.000 0.750
Cu 0.500 0.500 0.500
Au 0.000 0.000 0.500
Au 0.000 0.500 0.750
Au 0.500 0.000 0.250
Au 0.500 0.500 0.000
```

---

Entry 12:
DFT (GGA-PBE) results for a geometry-optimized TaCu2Au3 structure. Values from VASP.

- Spin magnetization: 0.000 μB/cell
- Formation energy: -0.2 eV/f.u.
- D(E_F): 3.2 states/eV/cell

Cell and atoms, written as Quantum ESPRESSO input:
```
&SYSTEM
  ibrav = 0, nat = 6, ntyp = 3
/
ATOMIC_SPECIES
Ta 180.95 Ta.upf
Cu 63.55 Cu.upf
Au 196.97 Au.upf
CELL_PARAMETERS angstrom
2.946 0.000 0.000
0.000 2.946 0.000
0.000 0.000 11.031
ATOMIC_POSITIONS crystal
Ta 0.000 0.000 0.000
Cu 0.000 0.000 0.343
Cu 0.000 0.000 0.657
Au 0.500 0.500 0.182
Au 0.500 0.500 0.500
Au 0.500 0.500 0.818
```

---

Entry 13:
DFT (GGA-PBE) results for a geometry-optimized TaCuAu2 structure. Values from VASP.

- Spin magnetization: 0.000 μB/cell
- Formation energy: 0.4 eV/f.u.
- D(E_F): 4.2 states/eV/cell

Cell and atoms, written as Quantum ESPRESSO input:
```
&SYSTEM
  ibrav = 0, nat = 8, ntyp = 3
/
ATOMIC_SPECIES
Ta 180.95 Ta.upf
Cu 63.55 Cu.upf
Au 196.97 Au.upf
CELL_PARAMETERS angstrom
6.403 0.000 0.000
0.000 7.583 0.000
-0.014 0.000 2.790
ATOMIC_POSITIONS crystal
Ta 0.000 0.000 0.000
Ta 0.500 0.500 0.000
Cu 0.000 0.500 0.000
Cu 0.500 0.000 0.000
Au 0.250 0.250 0.500
Au 0.250 0.750 0.500
Au 0.750 0.250 0.500
Au 0.750 0.750 0.500
```

---

Entry 14:
DFT (GGA-PBE) results for a geometry-optimized TaCuAu2 structure. Values from VASP.

- Spin magnetization: 0.000 μB/cell
- Formation energy: 1.9 eV/f.u.
- D(E_F): 22.3 states/eV/cell

Cell and atoms, written as Quantum ESPRESSO input:
```
&SYSTEM
  ibrav = 0, nat = 16, ntyp = 3
/
ATOMIC_SPECIES
Ta 180.95 Ta.upf
Cu 63.55 Cu.upf
Au 196.97 Au.upf
CELL_PARAMETERS angstrom
7.297 0.000 0.000
0.000 7.297 0.000
0.000 0.000 5.396
ATOMIC_POSITIONS crystal
Ta 0.000 0.000 0.000
Ta 0.000 0.500 0.250
Ta 0.500 0.000 0.750
Ta 0.500 0.500 0.500
Cu 0.000 0.000 0.500
Cu 0.000 0.500 0.750
Cu 0.500 0.000 0.250
Cu 0.500 0.500 0.000
Au 0.234 0.750 0.625
Au 0.250 0.234 0.375
Au 0.250 0.266 0.875
Au 0.266 0.750 0.125
Au 0.734 0.250 0.125
Au 0.750 0.734 0.875
Au 0.750 0.766 0.375
Au 0.766 0.250 0.625
```

---

Entry 15:
DFT (GGA-PBE) results for a geometry-optimized Ta2CuAu structure. Values from VASP.

- Spin magnetization: 0.000 μB/cell
- Formation energy: 0.6 eV/f.u.
- D(E_F): 5.2 states/eV/cell

Cell and atoms, written as Quantum ESPRESSO input:
```
&SYSTEM
  ibrav = 0, nat = 8, ntyp = 3
/
ATOMIC_SPECIES
Ta 180.95 Ta.upf
Cu 63.55 Cu.upf
Au 196.97 Au.upf
CELL_PARAMETERS angstrom
9.701 0.000 0.000
0.000 2.873 0.000
-0.809 0.000 4.830
ATOMIC_POSITIONS crystal
Ta 0.250 0.000 0.244
Ta 0.250 0.500 0.756
Ta 0.750 0.000 0.756
Ta 0.750 0.500 0.244
Cu 0.000 0.500 0.000
Cu 0.500 0.000 0.000
Au 0.000 0.000 0.500
Au 0.500 0.500 0.500
```

---

Entry 16:
DFT (GGA-PBE) results for a geometry-optimized Ta2CuAu structure. Values from VASP.

- Spin magnetization: 0.000 μB/cell
- Formation energy: 0.5 eV/f.u.
- D(E_F): 4.9 states/eV/cell

Cell and atoms, written as Quantum ESPRESSO input:
```
&SYSTEM
  ibrav = 0, nat = 8, ntyp = 3
/
ATOMIC_SPECIES
Ta 180.95 Ta.upf
Cu 63.55 Cu.upf
Au 196.97 Au.upf
CELL_PARAMETERS angstrom
2.958 0.000 0.000
0.000 4.848 0.000
0.000 0.000 9.367
ATOMIC_POSITIONS crystal
Ta 0.000 0.000 0.000
Ta 0.000 0.500 0.243
Ta 0.500 0.000 0.743
Ta 0.500 0.500 0.500
Cu 0.000 0.000 0.505
Cu 0.500 0.500 0.005
Au 0.000 0.500 0.771
Au 0.500 0.000 0.271
```

---

Entry 17:
DFT (GGA-PBE) results for a geometry-optimized Ta2CuAu structure. Values from VASP.

- Spin magnetization: 0.000 μB/cell
- Formation energy: 0.2 eV/f.u.
- D(E_F): 5.2 states/eV/cell

Cell and atoms, written as Quantum ESPRESSO input:
```
&SYSTEM
  ibrav = 0, nat = 8, ntyp = 3
/
ATOMIC_SPECIES
Ta 180.95 Ta.upf
Cu 63.55 Cu.upf
Au 196.97 Au.upf
CELL_PARAMETERS angstrom
4.000 0.000 0.000
0.000 4.000 0.000
0.000 0.000 8.243
ATOMIC_POSITIONS crystal
Ta 0.000 0.500 0.250
Ta 0.000 0.500 0.750
Ta 0.500 0.000 0.250
Ta 0.500 0.000 0.750
Cu 0.000 0.000 0.000
Cu 0.500 0.500 0.500
Au 0.000 0.000 0.500
Au 0.500 0.500 0.000
```

---

Entry 18:
DFT (GGA-PBE) results for a geometry-optimized Ta2CuAu structure. Values from VASP.

- Spin magnetization: 0.000 μB/cell
- Formation energy: -0.1 eV/f.u.
- D(E_F): 6.2 states/eV/cell

Cell and atoms, written as Quantum ESPRESSO input:
```
&SYSTEM
  ibrav = 0, nat = 8, ntyp = 3
/
ATOMIC_SPECIES
Ta 180.95 Ta.upf
Cu 63.55 Cu.upf
Au 196.97 Au.upf
CELL_PARAMETERS angstrom
3.813 0.000 0.000
0.000 4.219 0.000
0.000 0.000 8.277
ATOMIC_POSITIONS crystal
Ta 0.000 0.000 0.000
Ta 0.000 0.500 0.272
Ta 0.500 0.000 0.272
Ta 0.500 0.500 0.000
Cu 0.000 0.000 0.504
Cu 0.500 0.500 0.504
Au 0.000 0.500 0.738
Au 0.500 0.000 0.738
```

---

Entry 19:
DFT (GGA-PBE) results for a geometry-optimized TaCuAu2 structure. Values from VASP.

- Spin magnetization: 0.000 μB/cell
- Formation energy: 0.2 eV/f.u.
- D(E_F): 5.3 states/eV/cell

Cell and atoms, written as Quantum ESPRESSO input:
```
&SYSTEM
  ibrav = 0, nat = 12, ntyp = 3
/
ATOMIC_SPECIES
Ta 180.95 Ta.upf
Cu 63.55 Cu.upf
Au 196.97 Au.upf
CELL_PARAMETERS angstrom
2.932 0.000 0.000
-1.466 2.539 0.000
0.000 0.000 27.038
ATOMIC_POSITIONS crystal
Ta 0.000 0.000 0.000
Ta 0.333 0.667 0.667
Ta 0.667 0.333 0.333
Cu 0.000 0.000 0.167
Cu 0.333 0.667 0.834
Cu 0.667 0.333 0.500
Au 0.000 0.000 0.580
Au 0.000 0.000 0.754
Au 0.333 0.667 0.246
Au 0.333 0.667 0.420
Au 0.667 0.333 0.087
Au 0.667 0.333 0.913
```

---

Entry 20:
DFT (GGA-PBE) results for a geometry-optimized TaCu5Au4 structure. Values from VASP.

- Spin magnetization: 0.000 μB/cell
- Formation energy: 0.0 eV/f.u.
- D(E_F): 3.6 states/eV/cell

Cell and atoms, written as Quantum ESPRESSO input:
```
&SYSTEM
  ibrav = 0, nat = 10, ntyp = 3
/
ATOMIC_SPECIES
Ta 180.95 Ta.upf
Cu 63.55 Cu.upf
Au 196.97 Au.upf
CELL_PARAMETERS angstrom
3.197 0.000 0.000
0.000 3.197 0.000
0.000 0.000 14.718
ATOMIC_POSITIONS crystal
Ta 0.000 0.000 0.000
Cu 0.500 0.500 0.101
Cu 0.500 0.500 0.300
Cu 0.500 0.500 0.500
Cu 0.500 0.500 0.700
Cu 0.500 0.500 0.899
Au 0.000 0.000 0.199
Au 0.000 0.000 0.400
Au 0.000 0.000 0.600
Au 0.000 0.000 0.801
```